Entry 1:
TlSi: optimized geometry, GGA-PBE.

Its symmetry is No. 216. The value obtained for the total energy is -3.19 eV/atom. The value obtained for the uncorrected formation energy is 702 meV/atom.

abc: 6.188 6.188 6.188
angles: 90.00 90.00 90.00
Fractional positions:
1 Si 0.250 0.250 0.250
2 Tl 0.500 0.000 0.500
3 Si 0.750 0.250 0.750
4 Tl 0.000 0.500 0.500
5 Tl 0.500 0.500 0.000
6 Tl 0.000 0.000 0.000
7 Si 0.750 0.750 0.250
8 Si 0.250 0.750 0.750

---

Entry 2:
Tl3Si23: optimized geometry, GGA-PBE.

Its symmetry is No. 223. The value obtained for the total energy is -5.00 eV/atom. The value obtained for the uncorrected formation energy is 74 meV/atom.

abc: 10.240 10.240 10.240
angles: 90.00 90.00 90.00
Fractional positions:
1 Si 0.316 0.316 0.684
2 Si 0.000 0.118 0.693
3 Si 0.882 0.307 0.000
4 Si 0.816 0.184 0.184
5 Si 0.307 0.000 0.882
6 Si 0.000 0.882 0.693
7 Si 0.807 0.382 0.500
8 Si 0.618 0.500 0.193
9 Si 0.184 0.816 0.816
10 Si 0.000 0.118 0.307
11 Si 0.693 0.000 0.882
12 Si 0.118 0.307 0.000
13 Si 0.316 0.316 0.316
14 Si 0.118 0.693 0.000
15 Si 0.693 0.000 0.118
16 Si 0.382 0.500 0.193
17 Si 0.307 0.000 0.118
18 Si 0.193 0.382 0.500
19 Si 0.684 0.316 0.316
20 Si 0.316 0.684 0.316
21 Si 0.000 0.882 0.307
22 Si 0.816 0.816 0.184
23 Tl 0.750 0.000 0.500
24 Si 0.500 0.193 0.382
25 Si 0.816 0.184 0.816
26 Si 0.316 0.684 0.684
27 Si 0.807 0.618 0.500
28 Si 0.500 0.807 0.382
29 Si 0.500 0.807 0.618
30 Si 0.193 0.618 0.500
31 Si 0.500 0.000 0.750
32 Si 0.684 0.684 0.316
33 Si 0.816 0.816 0.816
34 Tl 0.000 0.500 0.750
35 Si 0.000 0.750 0.500
36 Si 0.500 0.193 0.618
37 Si 0.250 0.500 0.000
38 Si 0.684 0.684 0.684
39 Tl 0.000 0.500 0.250
40 Si 0.500 0.000 0.250
41 Si 0.000 0.250 0.500
42 Si 0.184 0.816 0.184
43 Si 0.184 0.184 0.816
44 Si 0.882 0.693 0.000
45 Si 0.382 0.500 0.807
46 Tl 0.500 0.250 0.000
47 Si 0.184 0.184 0.184
48 Tl 0.250 0.000 0.500
49 Si 0.684 0.316 0.684
50 Si 0.750 0.500 0.000
51 Si 0.618 0.500 0.807
52 Tl 0.500 0.750 0.000

---

Entry 3:
Tl3Si: optimized geometry, GGA-PBE.

The value obtained for the energy above the most stable polymorph in this dataset is 0.045 eV/atom. Its symmetry is No. 10. The value obtained for the total energy is -2.79 eV/atom. The value obtained for the uncorrected formation energy is 337 meV/atom.

abc: 5.058 3.475 6.367
angles: 76.87 90.00 90.00
Fractional positions:
1 Si 0.000 0.000 0.000
2 Tl 0.500 0.175 0.229
3 Tl 0.500 0.825 0.771
4 Tl 0.000 0.500 0.500

---

Entry 4:
TlSi: optimized geometry, GGA-PBE.

Its symmetry is No. 11. The value obtained for the total energy is -3.57 eV/atom. The value obtained for the uncorrected formation energy is 323 meV/atom.

abc: 4.968 3.734 5.967
angles: 90.00 114.51 90.00
Fractional positions:
1 Tl 0.844 0.250 0.700
2 Si 0.597 0.250 0.130
3 Tl 0.156 0.750 0.300
4 Si 0.403 0.750 0.870

---

Entry 5:
Tl2Si: optimized geometry, GGA-PBE.

The value obtained for the energy above the most stable polymorph in this dataset is 0.000 eV/atom. Its symmetry is No. 63. The value obtained for the total energy is -3.18 eV/atom. The value obtained for the uncorrected formation energy is 205 meV/atom.

abc: 13.859 13.859 3.484
angles: 90.00 90.00 166.01
Fractional positions:
1 Tl 0.447 0.553 0.750
2 Tl 0.150 0.850 0.750
3 Tl 0.553 0.447 0.250
4 Tl 0.850 0.150 0.250
5 Si 0.257 0.743 0.250
6 Si 0.743 0.257 0.750

---

Entry 6:
TlSi: optimized geometry, GGA-PBE.

Its symmetry is No. 12. The value obtained for the total energy is -3.52 eV/atom. The value obtained for the uncorrected formation energy is 370 meV/atom.

abc: 5.633 6.042 3.729
angles: 72.02 70.67 58.46
Fractional positions:
1 Tl 0.612 0.460 0.464
2 Si 0.949 0.920 0.065
3 Si 0.967 0.663 0.685
4 Tl 0.304 0.124 0.286

---

Entry 7:
TlSi: optimized geometry, GGA-PBE.

Its symmetry is No. 67. The value obtained for the total energy is -3.51 eV/atom. The value obtained for the uncorrected formation energy is 381 meV/atom.

abc: 3.327 3.327 9.614
angles: 90.00 90.00 111.58
Fractional positions:
1 Tl 0.500 0.500 0.208
2 Tl 0.000 0.000 0.542
3 Si 0.500 0.500 0.801
4 Si 0.000 0.000 0.949

---

Entry 8:
TlSi: optimized geometry, GGA-PBE.

Its symmetry is No. 2. The value obtained for the total energy is -3.71 eV/atom. The value obtained for the uncorrected formation energy is 186 meV/atom.

abc: 3.787 3.795 8.491
angles: 76.25 89.88 60.12
Fractional positions:
1 Si 0.185 0.129 0.553
2 Tl 0.609 0.284 0.829
3 Tl 0.391 0.716 0.171
4 Si 0.815 0.871 0.447

---

> Among the records above, which one has the lowest total energy?

Tl3Si23